Record 1
A PBEsol-optimized structure of TiO2, computed with SCAN.

Calculated values
- Volume: 10.19 A^3/atom
- Density of states at the Fermi level: 0.0 states/eV/cell
- ΔE_f (raw): -3.321 eV per atom
- Total moment: 0.00 Bohr magnetons per cell

Cell lengths 4.5426, 4.8901, 5.5030 Å; angles 90.00, 90.00, 90.00 degrees
Closest atoms and distances in Å follow each position.
Fractional coordinates of all 12 atoms:
1 Ti 0.0000 0.2500 0.1746  6 O 1.87-2.09
2 O 0.2282 0.4185 0.8818  3 Ti 1.87-2.09
3 O 0.7718 0.5815 0.1182  3 Ti 1.87-2.09
4 Ti 0.0000 0.7500 0.8254  6 O 1.87-2.09
5 Ti 0.5000 0.2500 0.6746  6 O 1.87-2.09
6 O 0.2282 0.9185 0.1182  3 Ti 1.87-2.09
7 Ti 0.5000 0.7500 0.3254  6 O 1.87-2.09
8 O 0.2718 0.9185 0.6182  3 Ti 1.87-2.09
9 O 0.2718 0.4185 0.3818  3 Ti 1.87-2.09
10 O 0.7282 0.5815 0.6182  3 Ti 1.87-2.09
11 O 0.7718 0.0815 0.8818  3 Ti 1.87-2.09
12 O 0.7282 0.0815 0.3818  3 Ti 1.87-2.09

---

Record 2
A PBEsol-optimized structure of Ti2O3, computed with SCAN.

Calculated values
- Volume: 10.72 A^3/atom
- Density of states at the Fermi level: 2.3 states/eV/cell
- ΔE_f (raw): -3.048 eV per atom
- Total moment: 0.00 Bohr magnetons per cell

Cell lengths 2.9544, 5.0348, 7.3529 Å; angles 101.47, 90.00, 90.00 degrees
Closest atoms and distances in Å follow each position.
Fractional coordinates of all 10 atoms:
1 Ti 0.7500 0.8406 0.3438  6 O 1.92-2.14
2 O 0.2500 0.7836 0.4990  3 Ti 1.92-2.01
3 O 0.2500 0.9396 0.1577  5 Ti 2.08-2.14
4 O 0.7500 0.4844 0.1684  4 Ti 1.99-2.07
5 Ti 0.2500 0.2638 0.0217  6 O 2.03-2.11
6 O 0.7500 0.0604 0.8423  5 Ti 2.08-2.14
7 O 0.7500 0.2164 0.5010  3 Ti 1.92-2.01
8 O 0.2500 0.5156 0.8316  4 Ti 1.99-2.07
9 Ti 0.7500 0.7362 0.9783  6 O 2.03-2.11
10 Ti 0.2500 0.1594 0.6562  6 O 1.92-2.14

---

Record 3
A PBEsol-optimized structure of Ti2O, computed with SCAN.

Calculated values
- Volume: 12.12 A^3/atom
- Density of states at the Fermi level: 3.4 states/eV/cell
- Relative energy among the computed polymorphs: 54 meV/atom
- ΔE_f (raw): -1.929 eV per atom
- Total moment: 0.00 Bohr magnetons per cell

Cell lengths 2.9252, 4.5747, 8.1598 Å; angles 92.03, 90.00, 90.00 degrees
Closest atoms and distances in Å follow each position.
Fractional coordinates of all 9 atoms:
1 Ti 0.0000 0.7515 0.7577  2 O 2.12-2.25
2 Ti 0.5000 0.7461 0.4279  2 O 2.01
3 Ti 0.5000 0.2642 0.9142  4 O 2.04
4 Ti 0.0000 0.2485 0.2423  2 O 2.12-2.25
5 Ti 0.5000 0.7358 0.0858  4 O 2.04
6 O 0.0000 0.2890 0.7411  5 Ti 2.01-2.12
7 O 0.0000 0.0000 0.0000  6 Ti 2.04-2.25
8 Ti 0.5000 0.2539 0.5721  2 O 2.01
9 O 0.0000 0.7110 0.2589  5 Ti 2.01-2.12

---

Record 4
A PBEsol-optimized structure of TiO, computed with SCAN.

Calculated values
- Volume: 10.11 A^3/atom
- Density of states at the Fermi level: 0.5 states/eV/cell
- ΔE_f (raw): -2.816 eV per atom
- Total moment: 0.00 Bohr magnetons per cell

Cell lengths 2.8402, 4.9667, 4.9667 Å; angles 120.00, 90.00, 90.00 degrees
Closest atoms and distances in Å follow each position.
Fractional coordinates of all 6 atoms:
1 Ti 0.0000 0.0000 0.0000  3 O 1.96
2 Ti 0.5000 0.3333 0.6667  6 O 2.08
3 O 0.0000 0.0000 0.3948  5 Ti 1.96-2.08
4 O 0.0000 0.6052 0.6052  5 Ti 1.96-2.08
5 O 0.0000 0.3948 0.0000  5 Ti 1.96-2.08
6 Ti 0.5000 0.6667 0.3333  6 O 2.08

---

Record 5
A PBEsol-optimized structure of Ti2O3, computed with SCAN.

Calculated values
- Volume: 10.23 A^3/atom
- Density of states at the Fermi level: 3.0 states/eV/cell
- ΔE_f (raw): -3.170 eV per atom
- Total moment: 0.00 Bohr magnetons per cell

Cell lengths 5.0473, 5.0473, 5.4748 Å; angles 62.55, 62.55, 60.00 degrees
Closest atoms and distances in Å follow each position.
Fractional coordinates of all 10 atoms:
1 Ti 0.1543 0.1543 0.5371  6 O 2.00-2.06
2 Ti 0.3457 0.3457 0.9629  6 O 2.00-2.06
3 O 0.7500 0.0614 0.7500  4 Ti 2.00-2.06
4 O 0.0614 0.4386 0.7500  4 Ti 2.00-2.06
5 O 0.2500 0.9386 0.2500  4 Ti 2.00-2.06
6 O 0.4386 0.7500 0.7500  4 Ti 2.00-2.06
7 Ti 0.6543 0.6543 0.0371  6 O 2.00-2.06
8 Ti 0.8457 0.8457 0.4629  6 O 2.00-2.06
9 O 0.5614 0.2500 0.2500  4 Ti 2.00-2.06
10 O 0.9386 0.5614 0.2500  4 Ti 2.00-2.06

---

Record 6
A PBEsol-optimized structure of Ti4O7, computed with SCAN.

Calculated values
- Volume: 10.50 A^3/atom
- Density of states at the Fermi level: 8.8 states/eV/cell
- ΔE_f (raw): -3.211 eV per atom
- Total moment: 1.75 Bohr magnetons per cell

Cell lengths 5.6514, 7.1715, 12.3063 Å; angles 94.47, 95.53, 110.42 degrees
Closest atoms and distances in Å follow each position.
Fractional coordinates of all 44 atoms:
1 O 0.6568 0.0532 0.3630  4 Ti 2.00-2.15
2 O 0.1266 0.0087 0.4114  3 Ti 1.87-1.99
3 O 0.4992 0.8832 0.8413  3 Ti 1.88-2.04
4 O 0.8975 0.6357 0.4677  3 Ti 1.91-1.99
5 O 0.1717 0.5272 0.9174  2 Ti 1.81-1.92
6 Ti 0.2165 0.6619 0.5612  6 O 1.93-2.04
7 O 0.8734 0.9913 0.5886  3 Ti 1.87-1.99
8 O 0.3432 0.9468 0.6370  4 Ti 2.00-2.15
9 Ti 0.2930 0.0309 0.8026  4 O 1.80-1.97
10 O 0.0006 0.6029 0.6863  3 Ti 1.89-2.04
11 O 0.7037 0.7382 0.2742  4 Ti 1.93-2.09
12 O 0.9551 0.9204 0.8058  2 Ti 1.80-1.97
13 O 0.5870 0.3076 0.5603  3 Ti 1.93-1.97
14 Ti 0.7070 0.9691 0.1974  4 O 1.80-1.97
15 O 0.4130 0.6924 0.4397  3 Ti 1.93-1.97
16 O 0.7804 0.2405 0.7674  4 Ti 2.05-2.17
17 O 0.5008 0.1168 0.1587  3 Ti 1.88-2.04
18 O 0.4798 0.6338 0.6720  3 Ti 1.93-1.99
19 Ti 0.6711 0.9284 0.7022  5 O 1.87-2.04
20 Ti 0.7608 0.8276 0.9366  6 O 1.91-2.10
21 Ti 0.6595 0.4573 0.7084  6 O 1.90-2.09
22 O 0.8283 0.4728 0.0826  2 Ti 1.81-1.92
23 Ti 0.3405 0.5427 0.2916  6 O 1.90-2.09
24 Ti 0.2228 0.1515 0.5591  6 O 1.91-2.09
25 O 0.3055 0.4380 0.1317  3 Ti 1.91-2.04
26 Ti 0.1386 0.4483 0.7712  3 O 1.81-1.93
27 O 0.5808 0.7980 0.0627  3 Ti 1.90-2.08
28 Ti 0.7772 0.8485 0.4409  6 O 1.91-2.09
29 O 0.4192 0.2020 0.9373  3 Ti 1.90-2.08
30 Ti 0.8614 0.5517 0.2288  3 O 1.81-1.93
31 Ti 0.2392 0.1724 0.0634  6 O 1.91-2.10
32 O 0.0876 0.8612 0.0173  3 Ti 1.92-2.10
33 O 0.9994 0.3971 0.3137  3 Ti 1.89-2.04
34 O 0.6945 0.5620 0.8683  3 Ti 1.91-2.04
35 Ti 0.8072 0.3500 0.9359  6 O 1.92-2.13
36 O 0.0449 0.0796 0.1942  2 Ti 1.80-1.97
37 O 0.9124 0.1388 0.9827  3 Ti 1.92-2.10
38 O 0.2963 0.2618 0.7258  4 Ti 1.93-2.09
39 Ti 0.3289 0.0716 0.2978  5 O 1.87-2.04
40 O 0.5202 0.3662 0.3280  3 Ti 1.93-1.99
41 O 0.1025 0.3644 0.5323  3 Ti 1.91-1.99
42 Ti 0.1928 0.6500 0.0641  6 O 1.92-2.13
43 Ti 0.7835 0.3381 0.4388  6 O 1.93-2.04
44 O 0.2196 0.7595 0.2326  4 Ti 2.05-2.17

---

density of states at the Fermi level of number 5 (Ti2O3)? 3.0 states/eV/cell